First-principles (PBE) data for an optimized crystal structure of PmY2Tm6, as listed in Alexandria via LeMat-Bulk.

abc: 3.576 3.576 25.794
angles: 90.00 90.00 120.00
Positions (direct):
Pm 0.000 0.000 0.000
Y 0.333 0.667 0.328
Y 0.333 0.667 0.672
Tm 0.000 0.000 0.218
Tm 0.000 0.000 0.436
Tm 0.000 0.000 0.564
Tm 0.000 0.000 0.782
Tm 0.333 0.667 0.112
Tm 0.333 0.667 0.888

* calculated total energy: -4.892 eV/atom
* energy relative to the elements: 53 meV/atom
* distance to the lowest polymorph of the same formula: 26 meV per atom

First-principles (PBE) data for an optimized crystal structure of Pm4Y4Tm, as listed in Alexandria via LeMat-Bulk.

abc: 8.049 8.049 8.049
angles: 95.72 95.72 143.18
Positions (direct):
Pm 0.000 0.332 0.332
Pm 0.000 0.668 0.668
Pm 0.332 0.000 0.332
Pm 0.668 0.000 0.668
Y 0.334 0.334 0.669
Y 0.334 0.666 0.000
Y 0.666 0.334 0.000
Y 0.666 0.666 0.331
Tm 0.000 0.000 0.000

* calculated total energy: -5.460 eV/atom
* energy relative to the elements: 21 meV/atom

First-principles (PBE) data for an optimized crystal structure of PmYTm14, as listed in Alexandria via LeMat-Bulk.

abc: 10.986 6.860 6.860
angles: 71.42 90.00 90.00
Positions (direct):
Pm 0.000 0.000 0.000
Y 0.000 0.446 0.446
Tm 0.000 0.516 0.926
Tm 0.000 0.926 0.516
Tm 0.236 0.203 0.203
Tm 0.252 0.136 0.715
Tm 0.252 0.715 0.136
Tm 0.268 0.649 0.649
Tm 0.500 0.339 0.927
Tm 0.500 0.405 0.405
Tm 0.500 0.856 0.856
Tm 0.500 0.927 0.339
Tm 0.732 0.649 0.649
Tm 0.748 0.136 0.715
Tm 0.748 0.715 0.136
Tm 0.764 0.203 0.203

* calculated total energy: -4.554 eV/atom
* energy relative to the elements: 60 meV/atom

First-principles (PBE) data for an optimized crystal structure of PmY4Tm8, as listed in Alexandria via LeMat-Bulk.

abc: 7.275 7.275 9.819
angles: 111.70 111.70 60.05
Positions (direct):
Pm 0.000 0.000 0.000
Y 0.000 0.000 0.500
Y 0.000 0.500 0.500
Y 0.500 0.000 0.500
Y 0.500 0.500 0.500
Tm 0.250 0.250 0.190
Tm 0.250 0.690 0.190
Tm 0.281 0.281 0.844
Tm 0.310 0.750 0.810
Tm 0.690 0.250 0.190
Tm 0.719 0.719 0.156
Tm 0.750 0.310 0.810
Tm 0.750 0.750 0.810

* calculated total energy: -4.895 eV/atom
* energy relative to the elements: 211 meV/atom

First-principles (PBE) data for an optimized crystal structure of Pm9YTm2, as listed in Alexandria via LeMat-Bulk.

abc: 5.115 5.115 15.342
angles: 90.00 90.00 90.00
Positions (direct):
Pm 0.000 0.000 0.000
Pm 0.000 0.000 0.334
Pm 0.000 0.000 0.666
Pm 0.000 0.500 0.168
Pm 0.000 0.500 0.500
Pm 0.000 0.500 0.832
Pm 0.500 0.000 0.168
Pm 0.500 0.000 0.500
Pm 0.500 0.000 0.832
Y 0.500 0.500 0.000
Tm 0.500 0.500 0.334
Tm 0.500 0.500 0.666

* calculated total energy: -4.831 eV/atom
* energy relative to the elements: 16 meV/atom

First-principles (PBE) data for an optimized crystal structure of Pm4Y5Tm4, as listed in Alexandria via LeMat-Bulk.

abc: 9.450 9.450 9.450
angles: 94.08 94.08 149.05
Positions (direct):
Pm 0.077 0.617 0.695
Pm 0.383 0.077 0.460
Pm 0.617 0.923 0.540
Pm 0.923 0.383 0.305
Y 0.000 0.000 0.000
Y 0.309 0.461 0.770
Y 0.461 0.691 0.152
Y 0.539 0.309 0.848
Y 0.691 0.539 0.230
Tm 0.154 0.231 0.385
Tm 0.231 0.846 0.076
Tm 0.769 0.154 0.924
Tm 0.846 0.769 0.615

* calculated total energy: -5.301 eV/atom
* energy relative to the elements: 22 meV/atom

First-principles (PBE) data for an optimized crystal structure of Pm5Y4Tm4, as listed in Alexandria via LeMat-Bulk.

abc: 9.467 9.467 9.467
angles: 94.08 94.08 149.05
Positions (direct):
Pm 0.000 0.000 0.000
Pm 0.307 0.460 0.767
Pm 0.460 0.693 0.153
Pm 0.540 0.307 0.847
Pm 0.693 0.540 0.233
Y 0.077 0.615 0.693
Y 0.385 0.077 0.462
Y 0.615 0.923 0.538
Y 0.923 0.385 0.307
Tm 0.154 0.232 0.387
Tm 0.232 0.846 0.078
Tm 0.768 0.154 0.922
Tm 0.846 0.768 0.613

* calculated total energy: -5.171 eV/atom
* energy relative to the elements: 21 meV/atom

First-principles (PBE) data for an optimized crystal structure of Pm3Y5Tm3, as listed in Alexandria via LeMat-Bulk.

abc: 11.173 11.173 3.450
angles: 90.00 90.00 120.00
Positions (direct):
Pm 0.000 0.599 0.000
Pm 0.401 0.401 0.000
Pm 0.599 0.000 0.000
Y 0.000 0.339 0.500
Y 0.333 0.667 0.500
Y 0.339 0.000 0.500
Y 0.661 0.661 0.500
Y 0.667 0.333 0.500
Tm 0.000 0.842 0.500
Tm 0.158 0.158 0.500
Tm 0.842 0.000 0.500

* calculated total energy: -5.098 eV/atom
* energy relative to the elements: 355 meV/atom
* distance to the lowest polymorph of the same formula: 0 meV per atom

First-principles (PBE) data for an optimized crystal structure of Pm3Y6Tm, as listed in Alexandria via LeMat-Bulk.

abc: 6.928 6.928 6.928
angles: 91.47 91.47 91.47
Positions (direct):
Pm 0.000 0.000 0.000
Pm 0.249 0.249 0.249
Pm 0.751 0.751 0.751
Y 0.080 0.423 0.747
Y 0.253 0.920 0.577
Y 0.423 0.747 0.080
Y 0.577 0.253 0.920
Y 0.747 0.080 0.423
Y 0.920 0.577 0.253
Tm 0.500 0.500 0.500

* calculated total energy: -5.500 eV/atom
* energy relative to the elements: 251 meV/atom
* distance to the lowest polymorph of the same formula: 108 meV per atom

First-principles (PBE) data for an optimized crystal structure of PmY5Tm2, as listed in Alexandria via LeMat-Bulk.

abc: 6.715 8.455 9.634
angles: 75.86 84.09 77.67
Positions (direct):
Pm 0.196 0.052 0.259
Pm 0.804 0.948 0.741
Y 0.053 0.699 0.488
Y 0.175 0.573 0.864
Y 0.304 0.448 0.240
Y 0.425 0.321 0.615
Y 0.448 0.802 0.010
Y 0.552 0.198 0.990
Y 0.575 0.679 0.385
Y 0.696 0.552 0.760
Y 0.825 0.427 0.136
Y 0.947 0.301 0.512
Tm 0.073 0.177 0.886
Tm 0.325 0.928 0.635
Tm 0.675 0.072 0.365
Tm 0.927 0.823 0.114

* calculated total energy: -5.749 eV/atom
* energy relative to the elements: 3 meV/atom
* distance to the lowest polymorph of the same formula: 0 meV per atom

First-principles (PBE) data for an optimized crystal structure of Pm3YTm7, as listed in Alexandria via LeMat-Bulk.

abc: 6.932 5.468 9.943
angles: 90.00 110.10 90.00
Positions (direct):
Pm 0.000 0.000 0.000
Pm 0.283 0.500 0.498
Pm 0.717 0.500 0.502
Y 0.500 0.000 0.000
Tm 0.000 0.000 0.500
Tm 0.146 0.500 0.789
Tm 0.321 0.500 0.139
Tm 0.419 0.000 0.330
Tm 0.581 0.000 0.670
Tm 0.679 0.500 0.861
Tm 0.854 0.500 0.211

* calculated total energy: -4.570 eV/atom
* energy relative to the elements: 159 meV/atom
* distance to the lowest polymorph of the same formula: 0 meV per atom

First-principles (PBE) data for an optimized crystal structure of Pm3YTm4, as listed in Alexandria via LeMat-Bulk.

abc: 13.277 13.277 5.647
angles: 94.68 94.68 15.34
Positions (direct):
Pm 0.000 0.000 0.000
Pm 0.143 0.143 0.715
Pm 0.857 0.857 0.285
Y 0.500 0.500 0.500
Tm 0.277 0.277 0.762
Tm 0.398 0.398 0.804
Tm 0.602 0.602 0.196
Tm 0.723 0.723 0.238

* calculated total energy: -4.628 eV/atom
* energy relative to the elements: 197 meV/atom
* distance to the lowest polymorph of the same formula: 180 meV per atom

First-principles (PBE) data for an optimized crystal structure of Pm3YTm6, as listed in Alexandria via LeMat-Bulk.

abc: 6.852 6.852 6.852
angles: 91.60 91.60 91.60
Positions (direct):
Pm 0.000 0.000 0.000
Pm 0.249 0.249 0.249
Pm 0.750 0.750 0.750
Y 0.500 0.500 0.500
Tm 0.078 0.746 0.421
Tm 0.252 0.578 0.921
Tm 0.421 0.078 0.746
Tm 0.578 0.921 0.252
Tm 0.746 0.421 0.078
Tm 0.921 0.252 0.578

* calculated total energy: -4.452 eV/atom
* energy relative to the elements: 302 meV/atom
* distance to the lowest polymorph of the same formula: 146 meV per atom

First-principles (PBE) data for an optimized crystal structure of PmY2Tm3, as listed in Alexandria via LeMat-Bulk.

abc: 9.376 9.376 6.131
angles: 90.15 90.15 44.43
Positions (direct):
Pm 0.124 0.876 0.750
Pm 0.876 0.124 0.250
Y 0.208 0.458 0.584
Y 0.458 0.208 0.084
Y 0.542 0.792 0.916
Y 0.792 0.542 0.416
Tm 0.042 0.292 0.917
Tm 0.292 0.042 0.417
Tm 0.375 0.625 0.250
Tm 0.625 0.375 0.750
Tm 0.708 0.958 0.583
Tm 0.958 0.708 0.083

* calculated total energy: -5.156 eV/atom
* energy relative to the elements: 26 meV/atom
* distance to the lowest polymorph of the same formula: 0 meV per atom

First-principles (PBE) data for an optimized crystal structure of Pm3Y2Tm4, as listed in Alexandria via LeMat-Bulk.

abc: 10.115 10.115 6.027
angles: 96.11 96.11 70.09
Positions (direct):
Pm 0.109 0.891 0.750
Pm 0.231 0.437 0.913
Pm 0.437 0.231 0.413
Pm 0.563 0.769 0.587
Pm 0.769 0.563 0.087
Pm 0.891 0.109 0.250
Y 0.011 0.750 0.189
Y 0.250 0.989 0.311
Y 0.750 0.011 0.689
Y 0.989 0.250 0.811
Tm 0.081 0.356 0.349
Tm 0.318 0.583 0.480
Tm 0.356 0.081 0.849
Tm 0.417 0.682 0.020
Tm 0.583 0.318 0.980
Tm 0.644 0.919 0.151
Tm 0.682 0.417 0.520
Tm 0.919 0.644 0.651

* calculated total energy: -4.904 eV/atom
* energy relative to the elements: 104 meV/atom
* distance to the lowest polymorph of the same formula: 79 meV per atom

First-principles (PBE) data for an optimized crystal structure of PmY7Tm4, as listed in Alexandria via LeMat-Bulk.

abc: 6.200 7.164 8.808
angles: 89.95 76.33 89.90
Positions (direct):
Pm 0.000 0.000 0.000
Y 0.000 0.500 0.000
Y 0.222 0.000 0.335
Y 0.281 0.748 0.664
Y 0.499 0.252 0.999
Y 0.501 0.748 0.001
Y 0.719 0.252 0.336
Y 0.778 0.000 0.665
Tm 0.220 0.500 0.337
Tm 0.277 0.252 0.665
Tm 0.723 0.748 0.335
Tm 0.780 0.500 0.663

* calculated total energy: -5.657 eV/atom
* energy relative to the elements: 1 meV/atom
* distance to the lowest polymorph of the same formula: 0 meV per atom

First-principles (PBE) data for an optimized crystal structure of Pm3YTm7, as listed in Alexandria via LeMat-Bulk.

abc: 7.007 7.007 8.603
angles: 90.00 90.00 120.00
Positions (direct):
Pm 0.167 0.334 0.000
Pm 0.167 0.833 0.000
Pm 0.666 0.833 0.000
Y 0.000 0.000 0.339
Tm 0.002 0.501 0.340
Tm 0.332 0.166 0.664
Tm 0.333 0.667 0.662
Tm 0.499 0.501 0.340
Tm 0.499 0.998 0.340
Tm 0.834 0.166 0.664
Tm 0.834 0.668 0.664

* calculated total energy: -4.545 eV/atom
* energy relative to the elements: 184 meV/atom
* distance to the lowest polymorph of the same formula: 25 meV per atom

First-principles (PBE) data for an optimized crystal structure of Pm4Y8Tm3, as listed in Alexandria via LeMat-Bulk.

abc: 9.304 9.304 6.765
angles: 111.24 111.24 87.34
Positions (direct):
Pm 0.000 0.000 0.000
Pm 0.000 0.000 0.500
Pm 0.000 0.500 0.000
Pm 0.500 0.000 0.000
Y 0.254 0.746 0.000
Y 0.266 0.266 0.513
Y 0.271 0.271 0.037
Y 0.360 0.640 0.500
Y 0.640 0.360 0.500
Y 0.729 0.729 0.963
Y 0.734 0.734 0.487
Y 0.746 0.254 0.000
Tm 0.000 0.500 0.500
Tm 0.500 0.000 0.500
Tm 0.500 0.500 0.000

* calculated total energy: -5.235 eV/atom
* energy relative to the elements: 374 meV/atom
* distance to the lowest polymorph of the same formula: 244 meV per atom

First-principles (PBE) data for an optimized crystal structure of Pm3YTm5, as listed in Alexandria via LeMat-Bulk.

abc: 9.804 9.804 9.804
angles: 127.42 127.42 77.57
Positions (direct):
Pm 0.116 0.616 0.732
Pm 0.250 0.250 0.000
Pm 0.384 0.116 0.500
Pm 0.616 0.884 0.500
Pm 0.750 0.750 0.000
Pm 0.884 0.384 0.268
Y 0.250 0.750 0.500
Y 0.750 0.250 0.500
Tm 0.000 0.000 0.000
Tm 0.073 0.152 0.500
Tm 0.152 0.652 0.079
Tm 0.348 0.427 0.500
Tm 0.427 0.927 0.079
Tm 0.500 0.500 0.000
Tm 0.573 0.073 0.921
Tm 0.652 0.573 0.500
Tm 0.848 0.348 0.921
Tm 0.927 0.848 0.500

* calculated total energy: -4.521 eV/atom
* energy relative to the elements: 265 meV/atom

First-principles (PBE) data for an optimized crystal structure of Pm2Y7Tm3, as listed in Alexandria via LeMat-Bulk.

abc: 6.162 5.484 12.174
angles: 90.00 90.64 90.00
Positions (direct):
Pm 0.093 0.000 0.278
Pm 0.907 0.000 0.722
Y 0.057 0.500 0.823
Y 0.264 0.000 0.544
Y 0.420 0.000 0.830
Y 0.500 0.500 0.000
Y 0.580 0.000 0.170
Y 0.736 0.000 0.456
Y 0.943 0.500 0.177
Tm 0.000 0.000 0.000
Tm 0.445 0.500 0.344
Tm 0.555 0.500 0.656

* calculated total energy: -5.359 eV/atom
* energy relative to the elements: 322 meV/atom
* distance to the lowest polymorph of the same formula: 231 meV per atom